The following is a DFT calculation (PBE) of LaBeTl3 after structural relaxation.

Geometry as CIF:
```
data_LaBeTl3
_symmetry_space_group_name_H-M 'P m -3 m'
_symmetry_Int_Tables_number 221
_symmetry_space_group_name_Hall '-P 4 2 3'
_cell_length_a 6.273
_cell_length_b 6.273
_cell_length_c 6.273
_cell_angle_alpha 90.00
_cell_angle_beta 90.00
_cell_angle_gamma 90.00
loop_
_atom_site_label
_atom_site_type_symbol
_atom_site_fract_x
_atom_site_fract_y
_atom_site_fract_z
_atom_site_occupancy
La1 La 0.000 0.000 0.000 1
Be1 Be 0.500 0.500 0.500 1
Tl1 Tl 0.000 0.000 0.500 1
```

Crystal system: cubic
Magnetization, μB per cell: 0.0
ρ, g cm⁻³: 5.12
Formation enthalpy at 0 K, meV/atom: 1163